Below is an optimized crystal structure of CePu2Cu2Si2, with properties calculated at the PBE level.

Unit cell a=3.962 b=3.962 c=9.318 alpha=77.72 beta=77.72 gamma=60.00
Each line ends with the local moment (μB).
Atoms (fractional coordinates):
Ce: 0.000 0.000 0.000  0.23
Pu: 0.150 0.150 0.550  -0.01
Pu: 0.850 0.850 0.450  -0.01
Cu: 0.590 0.590 0.230  0.00
Cu: 0.410 0.410 0.770  0.00
Si: 0.744 0.744 0.769  0.00
Si: 0.256 0.256 0.231  0.00

Summary:
- Raw formation energy: -0.3090 eV per atom
- Electronic total energy: -7.97 eV per atom
- Theoretical density: 11.0 Mg/m³